SrZn2Cl | PBE | relaxed

Computed properties:
* space group: Cm, No. 8
* calculated volume: 116.6 Å³ per cell
* polymorph energy (0 for the lowest one): 0.0 meV per atom
* uncorrected formation energy: -71.2 kJ per mole of atoms

abc: 4.465 4.465 6.759
angles: 88.91 88.91 59.93
Atoms (fractional coordinates):
1 Zn 0.630 0.630 0.904
2 Sr 0.289 0.289 0.230
3 Cl 0.618 0.618 0.445
4 Zn 0.963 0.963 0.922